First-principles (PBE-GGA) data for crystalline La3PmOs at its relaxed geometry, as listed in Alexandria via LeMat-Bulk.

- Crystal system: cubic
- Formation enthalpy at 0 K: 31.4 meV per atom

```
data_La3PmOs
_chemical_formula_sum 'La3 Pm1 Os1'
_cell_length_a 5.676
_cell_length_b 5.676
_cell_length_c 5.676
_cell_angle_alpha 90.00
_cell_angle_beta 90.00
_cell_angle_gamma 90.00
_symmetry_space_group_name_H-M 'P m -3 m'
_symmetry_Int_Tables_number 221
_symmetry_space_group_name_Hall '-P 4 2 3'
loop_
_atom_site_label
_atom_site_type_symbol
_atom_site_fract_x
_atom_site_fract_y
_atom_site_fract_z
La1 La 0.000 0.000 0.500
Pm1 Pm 0.500 0.500 0.500
Os1 Os 0.000 0.000 0.000
```

=====

First-principles (PBE-GGA) data for crystalline La2Pm6Os at its relaxed geometry, as listed in Alexandria via LeMat-Bulk.

- Crystal system: triclinic
- Formation enthalpy at 0 K: 159.1 meV per atom

```
data_La2Pm6Os
_chemical_formula_sum 'La2 Pm6 Os1'
_cell_length_a 3.702
_cell_length_b 9.443
_cell_length_c 9.594
_cell_angle_alpha 72.05
_cell_angle_beta 89.93
_cell_angle_gamma 89.94
_symmetry_space_group_name_H-M 'P -1'
_symmetry_Int_Tables_number 2
_symmetry_space_group_name_Hall '-P 1'
loop_
_atom_site_label
_atom_site_type_symbol
_atom_site_fract_x
_atom_site_fract_y
_atom_site_fract_z
La1 La 0.001 0.347 0.312
Pm1 Pm 0.000 0.023 0.771
Pm2 Pm 0.499 0.698 0.014
Pm3 Pm 0.500 0.351 0.638
Os1 Os 0.500 0.000 0.000
```

=====

First-principles (PBE-GGA) data for crystalline La3Pm2Os2 at its relaxed geometry, as listed in Alexandria via LeMat-Bulk.

- Crystal system: monoclinic
- Formation enthalpy at 0 K: -122.4 meV per atom

```
data_La3Pm2Os2
_chemical_formula_sum 'La6 Pm4 Os4'
_cell_length_a 12.458
_cell_length_b 4.077
_cell_length_c 8.690
_cell_angle_alpha 90.00
_cell_angle_beta 112.62
_cell_angle_gamma 90.00
_symmetry_space_group_name_H-M 'C 1 2/m 1'
_symmetry_Int_Tables_number 12
_symmetry_space_group_name_Hall '-C 2y'
loop_
_atom_site_label
_atom_site_type_symbol
_atom_site_fract_x
_atom_site_fract_y
_atom_site_fract_z
La1 La 0.000 0.000 0.000
La2 La 0.122 0.000 0.425
Pm1 Pm 0.169 0.500 0.816
Os1 Os 0.180 0.500 0.221
```

=====

formation enthalpy at 0 K of number 1 (La3PmOs)?
31.4 meV per atom

=====

Repeat the third record exactly.
First-principles (PBE-GGA) data for crystalline La3Pm2Os2 at its relaxed geometry, as listed in Alexandria via LeMat-Bulk.

- Crystal system: monoclinic
- Formation enthalpy at 0 K: -122.4 meV per atom

```
data_La3Pm2Os2
_chemical_formula_sum 'La6 Pm4 Os4'
_cell_length_a 12.458
_cell_length_b 4.077
_cell_length_c 8.690
_cell_angle_alpha 90.00
_cell_angle_beta 112.62
_cell_angle_gamma 90.00
_symmetry_space_group_name_H-M 'C 1 2/m 1'
_symmetry_Int_Tables_number 12
_symmetry_space_group_name_Hall '-C 2y'
loop_
_atom_site_label
_atom_site_type_symbol
_atom_site_fract_x
_atom_site_fract_y
_atom_site_fract_z
La1 La 0.000 0.000 0.000
La2 La 0.122 0.000 0.425
Pm1 Pm 0.169 0.500 0.816
Os1 Os 0.180 0.500 0.221
```

=====

Look up the formation enthalpy at 0 K of the first one.
31.4 meV per atom

=====

Which of these has the lowest formation enthalpy at 0 K?
La3Pm2Os2